VASP calculation (PBE with a Hubbard U) on V3P2O8 after structural relaxation.

a = 6.141 Å, b = 4.888 Å, c = 10.665 Å
α = 90.00°, β = 90.88°, γ = 90.00°
Space group P2_1/c (No. 14)
Asymmetric unit:
V 0.000 0.000 0.000 [2 per cell]
V 0.256 0.010 0.724 [4 per cell]
P 0.247 0.575 0.903 [4 per cell]
O 0.042 0.730 0.839 [4 per cell]
O 0.226 0.238 0.395 [4 per cell]
O 0.243 0.683 0.040 [4 per cell]
O 0.441 0.688 0.828 [4 per cell]

Computed properties:
Calculated total energy, eV/atom: -7.693
Energy above the most stable polymorph in this dataset, eV per formula unit: 0.00
Calculated volume, Å³/f.u.: 160